Computed, not measured: a relaxed CuPdW2 crystal at the GGA-PBE level of DFT.

a = 4.4092 Å, b = 4.4092 Å, c = 4.4092 Å
α = 60.00°, β = 60.00°, γ = 60.00°
Sites, in units of the cell vectors:
1 Cu 0.2500 0.2500 0.2500
2 Pd 0.5000 0.5000 0.5000
3 W 0.0000 0.0000 0.0000
4 W 0.7500 0.7500 0.7500

Output
The formation energy is 379 meV per atom. Its crystal system is cubic.

=====

Computed, not measured: a relaxed KZrTe3Au crystal at the GGA-PBE level of DFT.

a = 8.5097 Å, b = 4.6081 Å, c = 18.1212 Å
α = 90.00°, β = 90.00°, γ = 90.00°
Sites, in units of the cell vectors:
1 Au 0.5121 0.2500 0.6683
2 Au 0.0121 0.2500 0.8317
3 K 0.3561 0.2500 0.1838
4 K 0.8561 0.2500 0.3162
5 K 0.1439 0.7500 0.6838
6 K 0.6439 0.7500 0.8162
7 Te 0.3733 0.7500 0.0362
8 Te 0.9970 0.2500 0.0752
9 Te 0.6664 0.7500 0.2026
10 Te 0.1664 0.7500 0.2974
11 Te 0.4970 0.2500 0.4248
12 Te 0.8733 0.7500 0.4638
13 Te 0.1267 0.2500 0.5362
14 Te 0.5030 0.7500 0.5752
15 Te 0.8336 0.2500 0.7026
16 Te 0.3336 0.2500 0.7974
17 Te 0.0030 0.7500 0.9248
18 Te 0.6267 0.2500 0.9638
19 Zr 0.7407 0.7500 0.0496
20 Zr 0.2407 0.7500 0.4504
21 Zr 0.7593 0.2500 0.5496
22 Zr 0.2593 0.2500 0.9504
23 Au 0.9879 0.7500 0.1683
24 Au 0.4879 0.7500 0.3317

Output
The value obtained for the electronic total energy is -105.8 eV for the cell shown. Its crystal system is orthorhombic.

=====

Computed, not measured: a relaxed AcAlCu crystal at the GGA-PBE level of DFT.

a = 5.0849 Å, b = 5.0849 Å, c = 5.0849 Å
α = 60.00°, β = 60.00°, γ = 60.00°
Sites, in units of the cell vectors:
1 Ac 0.0000 0.0000 0.0000
2 Al 0.2500 0.2500 0.2500
3 Cu 0.7500 0.7500 0.7500

Output
The value obtained for the electronic total energy is -10.0 eV for the cell shown. Its crystal system is cubic.

=====

Computed, not measured: a relaxed TmLuTlTe3 crystal at the GGA-PBE level of DFT.

a = 7.9699 Å, b = 7.9699 Å, c = 11.8775 Å
α = 90.00°, β = 90.00°, γ = 148.29°
Site moments in Bohr magnetons follow the coordinates.
Sites, in units of the cell vectors:
1 Lu 0.9347 0.0653 0.2500  0.07
2 Lu 0.0653 0.9347 0.7500  0.07
3 Te 0.8591 0.1409 0.0276  0.00
4 Te 0.5629 0.4371 0.2500  0.00
5 Te 0.8591 0.1409 0.4724  0.00
6 Te 0.1409 0.8591 0.5276  0.00
7 Te 0.4371 0.5629 0.7500  0.00
8 Te 0.1409 0.8591 0.9724  0.00
9 Tl 0.2516 0.7484 0.2500  0.03
10 Tl 0.7484 0.2516 0.7500  0.03
11 Tm 0.5000 0.5000 0.0000  0.04
12 Tm 0.5000 0.5000 0.5000  0.04

Output
The value obtained for the electronic total energy is -52.7 eV for the cell shown. Its crystal system is orthorhombic.

=====

Computed, not measured: a relaxed Si3SnIr4 crystal at the GGA-PBE level of DFT.

a = 5.6390 Å, b = 3.4694 Å, c = 6.4962 Å
α = 90.00°, β = 91.47°, γ = 90.00°
Sites, in units of the cell vectors:
1 Ir 0.0090 0.0000 0.2070
2 Ir 0.4998 0.0000 0.2634
3 Ir 0.4772 0.5000 0.7121
4 Ir 0.0030 0.5000 0.8364
5 Si 0.6818 0.5000 0.0692
6 Si 0.2066 0.5000 0.4122
7 Si 0.3090 0.0000 0.9251
8 Sn 0.8136 0.0000 0.5747

Output
The value obtained for the electronic total energy is -59.7 eV for the cell shown. Its crystal system is monoclinic.

=====

Computed, not measured: a relaxed Be2NiHg crystal at the GGA-PBE level of DFT.

a = 4.1212 Å, b = 4.1212 Å, c = 4.1212 Å
α = 60.00°, β = 60.00°, γ = 60.00°
Sites, in units of the cell vectors:
1 Be 0.5000 0.5000 0.5000
2 Be 0.7500 0.7500 0.7500
3 Hg 0.2500 0.2500 0.2500
4 Ni 0.0000 0.0000 0.0000

Output
The value obtained for the electronic total energy is -12.2 eV for the cell shown. Its crystal system is cubic.

=====

no.,calculated density (kg/m³)
1,14730
2,6637
3,5672
4,7798
5,12702
6,9304